1.
This record from Alexandria describes a geometry-optimized YAgAs2 structure. The functional is PBE.

Cell: 5.7725 5.7725 4.1616 Å, 72.81 72.81 43.04°
Fractional positions:
Y1 0.4801 0.4801 0.5834
As1 0.0140 0.0140 0.0560
As2 0.7934 0.7934 0.5559
Ag1 0.2125 0.2125 0.3047

spin magnetization: 0.00 μB per cell
total DFT energy (no corrections): -5.251 eV per atom
volume: 22.4 A^3/atom


2.
This record from Alexandria describes a geometry-optimized LiAg5Br4Cl2 structure. The functional is PBE.

Cell: 6.5132 6.8745 7.9507 Å, 90.00 90.00 118.28°
Fractional positions:
Li1 0.4447 0.0000 0.0000
Ag1 0.0761 0.3969 0.2491
Ag2 0.3784 0.0000 0.5000
Ag3 0.0761 0.3969 0.7509
Ag4 0.6792 0.6031 0.7509
Ag5 0.6792 0.6031 0.2491
Br1 0.6725 0.0000 0.2521
Br2 0.6725 0.0000 0.7479
Br3 0.3804 0.3351 0.0000
Br4 0.0452 0.6649 0.0000
Cl1 0.9729 0.6444 0.5000
Cl2 0.3285 0.3556 0.5000

spin magnetization: 0.00 μB per cell
total DFT energy (no corrections): -2.762 eV per atom
volume: 26.1 A^3/atom